[1]
# Zr3Nb, optimized geometry, DFT GGA-PBE
# - Space group: Cmcm
# - Energy of formation from the pure elements: 0.2 eV per formula unit
# - Final energy: -70.95 eV for the cell shown
data_Zr3Nb
_cell_length_a 6.130
_cell_length_b 6.130
_cell_length_c 4.768
_cell_angle_alpha 90.00
_cell_angle_beta 90.00
_cell_angle_gamma 102.09
_space_group_name_H-M_alt 'P 1'
_space_group_IT_number 1
_space_group_name_Hall 'P 1'
loop_
_atom_site_label
_atom_site_fract_x
_atom_site_fract_y
_atom_site_fract_z
Zr1 0.121 0.879 0.750
Zr2 0.163 0.394 0.750
Zr3 0.394 0.163 0.250
Zr4 0.606 0.837 0.750
Zr5 0.837 0.606 0.250
Zr6 0.879 0.121 0.250
Nb1 0.339 0.661 0.250
Nb2 0.661 0.339 0.750

=====

[2]
# YCoNi2H8, optimized geometry, DFT GGA-PBE
# - Space group: R-3
# - Final energy: -54.15 eV for the cell shown
data_YCoNi2H8
_cell_length_a 5.773
_cell_length_b 5.773
_cell_length_c 5.773
_cell_angle_alpha 44.58
_cell_angle_beta 44.58
_cell_angle_gamma 44.58
_space_group_name_H-M_alt 'P 1'
_space_group_IT_number 1
_space_group_name_Hall 'P 1'
loop_
_atom_site_label
_atom_site_fract_x
_atom_site_fract_y
_atom_site_fract_z
Y1 0.000 0.000 0.000
Co1 0.500 0.500 0.500
Ni1 0.210 0.210 0.210
Ni2 0.790 0.790 0.790
H1 0.155 0.789 0.405
H2 0.211 0.595 0.845
H3 0.311 0.311 0.311
H4 0.405 0.155 0.789
H5 0.595 0.845 0.211
H6 0.689 0.689 0.689
H7 0.789 0.405 0.155
H8 0.845 0.211 0.595